[1]
First-principles (PBE) data for a relaxed structure of HoTm2Tl, as listed in Alexandria via LeMat-Bulk.

Unit cell a=3.634 b=12.768 c=10.010 alpha=90.00 beta=90.00 gamma=90.00
Space group Cmcm (No. 63)
Inequivalent atoms, fractional coordinates:
Ho 0.000 0.039 0.250
Tm 0.000 0.370 0.032
Tl 0.000 0.245 0.750

Properties
energy relative to the lowest polymorph listed for this composition	0.02	eV per formula unit
mass density	10.11	g/cm³
DFT formation energy	-15.2	kJ per mole of atoms
calculated total energy	-4.129	eV/atom
volume	464.5	Å³/cell

---

[2]
First-principles (PBE) data for a relaxed structure of TiNb4Mo3, as listed in Alexandria via LeMat-Bulk.

Unit cell a=3.239 b=4.585 c=9.174 alpha=90.00 beta=90.00 gamma=90.00
Space group Pmmm (No. 47)
Inequivalent atoms, fractional coordinates:
Ti 0.000 0.000 0.000
Nb 0.500 0.000 0.256
Nb 0.500 0.500 0.000
Nb 0.500 0.500 0.500
Mo 0.000 0.000 0.500
Mo 0.000 0.500 0.246

Properties
mass density	8.62	g/cm³
DFT formation energy	-10.2	kJ per mole of atoms
calculated total energy	-10.189	eV/atom
volume	136.2	Å³/cell

---

[3]
First-principles (PBE) data for a relaxed structure of Ru5C3, as listed in Alexandria via LeMat-Bulk.

Unit cell a=6.0819 b=6.0819 c=5.5023 alpha=90.00 beta=90.00 gamma=120.00
Space group P6_3/mcm (No. 193)
Inequivalent atoms, fractional coordinates:
Ru 0.0000 0.2506 0.2500
Ru 0.3333 0.6667 0.0000
C 0.0000 0.4072 0.7500

Properties
energy relative to the lowest polymorph listed for this composition	0.63	eV per formula unit
mass density	10.20	g/cm³
DFT formation energy	69.9	kJ per mole of atoms
calculated total energy	-8.532	eV/atom
volume	176.3	Å³/cell

---

[4]
First-principles (PBE) data for a relaxed structure of MgTl12In3, as listed in Alexandria via LeMat-Bulk.

Unit cell a=5.557 b=5.557 c=15.301 alpha=90.00 beta=90.00 gamma=90.00
Space group P4/mmm (No. 123)
Inequivalent atoms, fractional coordinates:
Mg 0.000 0.000 0.000
Tl 0.000 0.500 0.121
Tl 0.000 0.500 0.373
Tl 0.500 0.500 0.000
Tl 0.500 0.500 0.247
Tl 0.500 0.500 0.500
In 0.000 0.000 0.246
In 0.000 0.000 0.500

Properties
mass density	9.92	g/cm³
DFT formation energy	2.0	kJ per mole of atoms
calculated total energy	-2.367	eV/atom
volume	472.5	Å³/cell

---

[5]
First-principles (PBE) data for a relaxed structure of YInOs2, as listed in Alexandria via LeMat-Bulk.

Unit cell a=9.396 b=3.175 c=5.333 alpha=90.00 beta=104.20 gamma=90.00
Space group C2/m (No. 12)
Inequivalent atoms, fractional coordinates:
Y 0.000 0.000 0.000
In 0.000 0.500 0.500
Os 0.243 0.000 0.697

Properties
mass density	12.58	g/cm³
DFT formation energy	32.7	kJ per mole of atoms
calculated total energy	-7.577	eV/atom
volume	154.2	Å³/cell

---

[6]
First-principles (PBE) data for a relaxed structure of DyPaHgO6, as listed in Alexandria via LeMat-Bulk.

Unit cell a=5.6090 b=5.6090 c=4.9530 alpha=90.00 beta=90.00 gamma=120.00
Space group P312 (No. 149)
Inequivalent atoms, fractional coordinates:
Dy 0.0000 0.0000 0.0000
Pa 0.3333 0.6667 0.5000
Hg 0.6667 0.3333 0.0000
O 0.0181 0.3523 0.2470

Properties
mass density	8.49	g/cm³
calculated total energy	-7.096	eV/atom
volume	135.0	Å³/cell
formation energy from raw total energies	-2.190	eV/atom

---

[7]
First-principles (PBE) data for a relaxed structure of MnTe2Au, as listed in Alexandria via LeMat-Bulk.

Unit cell a=8.581 b=8.581 c=5.513 alpha=90.00 beta=90.00 gamma=90.00
Space group I4/mcm (No. 140)
Inequivalent atoms, fractional coordinates:
Mn 0.000 0.500 0.250
Te 0.166 0.334 0.000
Au 0.000 0.000 0.250

Properties
energy relative to the lowest polymorph listed for this composition	1.20	eV per formula unit
mass density	8.30	g/cm³
calculated total energy	-4.472	eV/atom
volume	406.0	Å³/cell
formation energy from raw total energies	0.210	eV/atom

---

[8]
First-principles (PBE) data for a relaxed structure of Th2Ga4Cu3Tc, as listed in Alexandria via LeMat-Bulk.

Unit cell a=4.233 b=4.233 c=10.170 alpha=90.00 beta=90.00 gamma=90.00
Space group P-4m2 (No. 115)
Inequivalent atoms, fractional coordinates:
Th 0.000 0.500 0.245
Ga 0.000 0.000 0.500
Ga 0.000 0.500 0.866
Ga 0.500 0.500 0.500
Cu 0.000 0.000 0.000
Cu 0.000 0.500 0.628
Tc 0.500 0.500 0.000

Properties
mass density	9.40	g/cm³
DFT formation energy	-35.9	kJ per mole of atoms
calculated total energy	-5.332	eV/atom
volume	182.2	Å³/cell

---

[9]
First-principles (PBE) data for a relaxed structure of AcSmY6, as listed in Alexandria via LeMat-Bulk.

Unit cell a=9.702 b=7.054 c=9.022 alpha=90.00 beta=102.87 gamma=90.00
Space group C2/m (No. 12)
Inequivalent atoms, fractional coordinates:
Ac 0.000 0.000 0.000
Sm 0.000 0.500 0.500
Y 0.122 0.500 0.918
Y 0.216 0.260 0.300

Properties
energy relative to the lowest polymorph listed for this composition	1.99	eV per formula unit
mass density	5.03	g/cm³
DFT formation energy	38.0	kJ per mole of atoms
calculated total energy	-5.558	eV/atom
volume	602.0	Å³/cell

---

[10]
First-principles (PBE) data for a relaxed structure of PmGe2Br8, as listed in Alexandria via LeMat-Bulk.

Unit cell a=12.481 b=10.806 c=7.465 alpha=90.00 beta=105.74 gamma=90.00
Space group C2/m (No. 12)
Inequivalent atoms, fractional coordinates:
Pm 0.000 0.000 0.000
Ge 0.190 0.000 0.652
Br 0.093 0.178 0.793
Br 0.121 0.500 0.163
Br 0.208 0.000 0.287

Properties
mass density	3.19	g/cm³
calculated total energy	-3.416	eV/atom
volume	969.1	Å³/cell
formation energy from raw total energies	-0.928	eV/atom

---

[11]
First-principles (PBE) data for a relaxed structure of CeTa2SiC4, as listed in Alexandria via LeMat-Bulk.

Unit cell a=3.230 b=10.988 c=11.083 alpha=90.00 beta=90.00 gamma=90.00
Space group Cmcm (No. 63)
Inequivalent atoms, fractional coordinates:
Ce 0.000 0.103 0.250
Ta 0.000 0.370 0.041
Si 0.000 0.165 0.750
C 0.000 0.000 0.000
C 0.000 0.265 0.616
C 0.000 0.424 0.250

Properties
mass density	9.76	g/cm³
calculated total energy	-9.310	eV/atom
volume	393.3	Å³/cell
formation energy from raw total energies	-0.315	eV/atom

---

[12]
First-principles (PBE) data for a relaxed structure of NaNpMoN3, as listed in Alexandria via LeMat-Bulk.

Unit cell a=6.899 b=3.458 c=9.168 alpha=90.00 beta=104.34 gamma=90.00
Space group P2_1/m (No. 11)
Inequivalent atoms, fractional coordinates:
Na 0.171 0.250 0.138
Np 0.338 0.750 0.854
Mo 0.030 0.250 0.614
N 0.118 0.250 0.841
N 0.174 0.750 0.598
N 0.452 0.750 0.103

Properties
mass density	6.24	g/cm³
calculated total energy	-8.850	eV/atom
volume	211.9	Å³/cell
formation energy from raw total energies	-0.505	eV/atom

---

[13]
First-principles (PBE) data for a relaxed structure of YTlCdRh, as listed in Alexandria via LeMat-Bulk.

Unit cell a=7.025 b=7.025 c=7.025 alpha=90.00 beta=90.00 gamma=90.00
Space group F-43m (No. 216)
Inequivalent atoms, fractional coordinates:
Y 0.000 0.000 0.000
Tl 0.250 0.250 0.750
Cd 0.000 0.000 0.500
Rh 0.250 0.250 0.250

Properties
mass density	9.74	g/cm³
DFT formation energy	-23.8	kJ per mole of atoms
calculated total energy	-4.521	eV/atom
volume	346.7	Å³/cell

---

[14]
First-principles (PBE) data for a relaxed structure of LaY2Cd2In2, as listed in Alexandria via LeMat-Bulk.

Unit cell a=4.9706 b=4.9706 c=27.8503 alpha=90.00 beta=90.00 gamma=120.00
Space group R-3m (No. 166, hexagonal axes)
Inequivalent atoms, fractional coordinates:
La 0.0000 0.0000 0.0000
Y 0.0000 0.0000 0.1296
Cd 0.0000 0.0000 0.4052
In 0.0000 0.0000 0.2556

Properties
mass density	6.45	g/cm³
DFT formation energy	-29.5	kJ per mole of atoms
calculated total energy	-3.901	eV/atom
volume	595.9	Å³/cell

---

[15]
First-principles (PBE) data for a relaxed structure of Ba4MoPb, as listed in Alexandria via LeMat-Bulk.

Unit cell a=10.136 b=10.136 c=10.136 alpha=90.00 beta=90.00 gamma=90.00
Space group F-43m (No. 216)
Inequivalent atoms, fractional coordinates:
Ba 0.124 0.124 0.376
Mo 0.000 0.000 0.000
Pb 0.250 0.250 0.750

Properties
mass density	5.44	g/cm³
DFT formation energy	85.8	kJ per mole of atoms
calculated total energy	-2.816	eV/atom
volume	1041.4	Å³/cell

---

[16]
First-principles (PBE) data for a relaxed structure of KPaTe2S8, as listed in Alexandria via LeMat-Bulk.

Unit cell a=6.6817 b=6.6817 c=9.2356 alpha=90.00 beta=90.00 gamma=120.00
Space group P-3 (No. 147)
Inequivalent atoms, fractional coordinates:
K 0.0000 0.0000 0.0000
Pa 0.0000 0.0000 0.5000
Te 0.3333 0.6667 0.7291
S 0.0402 0.7042 0.3279
S 0.3333 0.6667 0.9737

Properties
mass density	3.64	g/cm³
calculated total energy	-4.522	eV/atom
volume	357.1	Å³/cell
formation energy from raw total energies	-0.364	eV/atom

---

[17]
First-principles (PBE) data for a relaxed structure of Al6NiPd5, as listed in Alexandria via LeMat-Bulk.

Unit cell a=13.477 b=6.171 c=4.295 alpha=90.00 beta=107.47 gamma=90.00
Space group C2/m (No. 12)
Inequivalent atoms, fractional coordinates:
Al 0.000 0.238 0.000
Al 0.162 0.244 0.663
Ni 0.000 0.000 0.500
Pd 0.000 0.500 0.500
Pd 0.166 0.500 0.167
Pd 0.169 0.000 0.171

Properties
mass density	7.34	g/cm³
DFT formation energy	-79.5	kJ per mole of atoms
calculated total energy	-5.341	eV/atom
volume	340.7	Å³/cell

---

[18]
First-principles (PBE) data for a relaxed structure of SmEuZn2, as listed in Alexandria via LeMat-Bulk.

Unit cell a=7.371 b=7.371 c=7.371 alpha=90.00 beta=90.00 gamma=90.00
Space group Fm-3m (No. 225)
Inequivalent atoms, fractional coordinates:
Sm 0.000 0.000 0.000
Eu 0.000 0.000 0.500
Zn 0.250 0.250 0.250

Properties
energy relative to the lowest polymorph listed for this composition	0.04	eV per formula unit
mass density	7.18	g/cm³
DFT formation energy	-27.1	kJ per mole of atoms
calculated total energy	-4.666	eV/atom
volume	400.5	Å³/cell

---

[19]
First-principles (PBE) data for a relaxed structure of Ca3Se5, as listed in Alexandria via LeMat-Bulk.

Unit cell a=7.593 b=9.082 c=5.565 alpha=90.00 beta=90.00 gamma=90.00
Space group Cmmm (No. 65)
Inequivalent atoms, fractional coordinates:
Ca 0.000 0.000 0.000
Ca 0.000 0.290 0.500
Se 0.000 0.500 0.000
Se 0.203 0.000 0.500
Se 0.250 0.250 0.000

Properties
energy relative to the lowest polymorph listed for this composition	0.73	eV per formula unit
mass density	4.46	g/cm³
calculated total energy	-4.129	eV/atom
volume	383.8	Å³/cell
formation energy from raw total energies	-1.201	eV/atom

---

[20]
First-principles (PBE) data for a relaxed structure of CoSi2Se, as listed in Alexandria via LeMat-Bulk.

Unit cell a=2.673 b=4.263 c=10.580 alpha=90.00 beta=90.00 gamma=90.00
Space group Immm (No. 71)
Inequivalent atoms, fractional coordinates:
Co 0.000 0.000 0.000
Si 0.000 0.500 0.307
Se 0.000 0.000 0.500

Properties
mass density	5.35	g/cm³
calculated total energy	-5.128	eV/atom
volume	120.5	Å³/cell
formation energy from raw total energies	0.231	eV/atom